VASP calculation (PBE) on a relaxed Mn2InCuTe4 crystal.

Summary:
formation energy from raw total energies	-0.055	eV/atom
total moment	18.473	μB per cell
uncorrected energy	-4.7725	eV per atom
crystal system	tetragonal

Lattice parameters (Å, degrees): 5.875 5.875 11.611 90.00 90.00 90.00
Space group I4/mmm (No. 139)
One atom of each set of equivalent atoms:
Mn: 0.000 0.500 0.250
In: 0.000 0.000 0.000
Cu: 0.000 0.000 0.500
Te: 0.000 0.000 0.266
Te: 0.000 0.500 0.000